Density functional theory data (PBE) for an optimized crystal structure of Cs2LaSn.

Summary:
SG = Fm-3m (225)
volume = 42.7 A^3/atom
energy relative to the elements = 47.8 kJ/mol of atoms
total magnetic moment = 0.210 μB per atom

Cell lengths 6.227, 6.227, 6.227 Å; angles 60.00, 60.00, 60.00 degrees
Element x y z (fractional)
Sn1 0.000 0.000 0.000
La1 0.500 0.500 0.500
Cs1 0.250 0.250 0.250
Cs2 0.750 0.750 0.750